Below is AcNdCdGa after structural relaxation, with properties calculated at the PBE level.

* space group: F-43m, No. 216
* D(E_F): 1.2238 states/eV/atom
* calculated formation energy: -143 kJ/mol of formula units

Structure (POSCAR):
```
AcNdCdGa
1.0
0.000 3.898 3.898
3.898 0.000 3.898
3.898 3.898 0.000
Ac Nd Cd Ga
1 1 1 1
direct
0.000 0.000 0.000
0.500 0.500 0.500
0.750 0.750 0.750
0.250 0.250 0.250
```